Density functional theory data (PBE-GGA) for crystalline Tb3Nd8Dy at its relaxed geometry.

The energy of formation from the pure elements comes out at 0.0600 eV/atom.

It has space group C2/m (No. 12), with a = 7.1217 Å, b = 11.4816 Å, c = 10.5847 Å, α = 90.00°, β = 109.48° and γ = 90.00°. Symmetry generates all atoms from Tb at (0.0000, 0.0000, 0.0000), Tb at (0.2500, 0.2500, 0.5000), Nd at (0.0788, 0.5000, 0.6589), Nd at (0.0879, 0.0000, 0.6751), Nd at (0.1671, 0.2620, 0.8342) and Dy at (0.0000, 0.5000, 0.0000).

---

Density functional theory data (PBE-GGA) for crystalline ZnTc3Hg at its relaxed geometry.

The energy of formation from the pure elements comes out at 2.5046 eV/atom.

It has space group Pm-3m (No. 221), with a = 5.0699 Å, b = 5.0699 Å, c = 5.0699 Å, α = 90.00°, β = 90.00° and γ = 90.00°. Symmetry generates all atoms from Zn at (0.0000, 0.0000, 0.0000), Tc at (0.0000, 0.5000, 0.5000) and Hg at (0.5000, 0.5000, 0.5000).

---

Here are the calculated uncorrected energy numbers, same order: -111.831 -20.151 (eV/cell).